[1]
ScRuO2 | PBE | relaxed

DFT total energy (eV per atom): -8.325
Distance to the lowest polymorph of the same formula (eV/f.u.): 0.00
Magnetization (μB per formula unit): 1.68
ΔE_f (raw) (eV/atom): -1.944

a b c (Å): 3.0574 3.0574 18.6617
angles (deg): 90.00 90.00 120.00
Last column: nearest neighbours and their distance in Å.
Space group R-3m (No. 166, hexagonal axes)
Asymmetric unit:
Sc  0.0000  0.0000  0.0000  6 O 2.08
Ru  0.0000  0.0000  0.5000  2 O 2.02
O  0.0000  0.0000  0.3918  1 Ru 2.02, 3 Sc 2.08

=====

[2]
RbCuAgTe6 | PBE | relaxed

DFT total energy (eV per atom): -3.077
Magnetization (μB per formula unit): 0.00
ΔE_f (raw) (eV/atom): -0.103

a b c (Å): 9.1057 9.9099 13.7508
angles (deg): 90.00 90.00 90.00
Last column: nearest neighbours and their distance in Å.
Space group Imma (No. 74)
Asymmetric unit:
Rb  0.0000  0.2500  0.1418  6 Te 3.62-3.71
Cu  0.2500  0.2500  0.7500  6 Te 2.64-2.83
Ag  0.0000  0.0000  0.5000  6 Te 2.80-2.97
Te  0.0000  0.2500  0.4052  2 Ag 2.80
Te  0.0000  0.2500  0.8721  2 Cu 2.83
Te  0.2438  0.0300  0.6413  1 Cu 2.64

=====

[3]
Sm8ZnPd2 | PBE | relaxed

DFT total energy (eV per atom): -4.828
Distance to the lowest polymorph of the same formula (eV/f.u.): 0.00
Magnetization (μB per formula unit): 0.00

a b c (Å): 18.3262 5.2206 6.8780
angles (deg): 90.00 108.98 90.00
Last column: nearest neighbours and their distance in Å.
Space group C2/m (No. 12)
Asymmetric unit:
Sm  0.0292  0.0000  0.2849  1 Pd 2.78
Sm  0.0934  0.5000  0.9700  1 Zn 3.13, 2 Pd 3.22, 1 Sm 3.46
Sm  0.1738  0.5000  0.4997  1 Pd 2.83
Sm  0.1994  0.0000  0.8348  1 Pd 2.89
Zn  0.0000  0.5000  0.5000  8 Sm 3.13-3.19
Pd  0.1726  0.0000  0.2270  3 Sm 2.78-2.89

=====

[4]
CdHg | PBE | relaxed

DFT total energy (eV per atom): -0.561
Magnetization (μB per formula unit): 0.00

a b c (Å): 6.0044 6.0044 6.0044
angles (deg): 90.00 90.00 90.00
Last column: nearest neighbours and their distance in Å.
Space group Fm-3m (No. 225)
Asymmetric unit:
Cd  0.0000  0.0000  0.0000  6 Hg 3.00
Hg  0.0000  0.0000  0.5000  6 Cd 3.00

=====

[5]
NaSn2H2 | PBE | relaxed

DFT total energy (eV per atom): -2.846
Magnetization (μB per formula unit): 0.00

a b c (Å): 7.4325 7.4325 3.2351
angles (deg): 90.00 90.00 90.00
Last column: nearest neighbours and their distance in Å.
Space group P4/mbm (No. 127)
Asymmetric unit:
Na  0.0000  0.0000  0.0000  4 H 3.07, 2 Na 3.24, 8 Sn 3.30
Sn  0.1379  0.3621  0.5000  4 H 2.41
H  0.0998  0.5998  0.0000  1 H 2.10

=====

[6]
HfGaCl2 | PBE | relaxed

DFT total energy (eV per atom): -4.708
Distance to the lowest polymorph of the same formula (eV/f.u.): 1.34
Magnetization (μB per formula unit): 0.00
ΔE_f (raw) (eV/atom): -0.540

a b c (Å): 8.7324 8.7324 5.6093
angles (deg): 90.00 90.00 90.00
Last column: nearest neighbours and their distance in Å.
Space group I-42d (No. 122)
Asymmetric unit:
Hf  0.0000  0.0000  0.0000  4 Cl 2.51, 2 Ga 2.80
Ga  0.0000  0.0000  0.5000  2 Hf 2.80
Cl  0.1162  0.2500  0.1250  2 Hf 2.51

=====

[7]
ScWBr | PBE | relaxed

DFT total energy (eV per atom): -6.640
Distance to the lowest polymorph of the same formula (eV/f.u.): 0.34
Magnetization (μB per formula unit): 0.00
ΔE_f (raw) (eV/atom): 0.346

a b c (Å): 3.0104 3.0104 15.3814
angles (deg): 90.00 90.00 90.00
Last column: nearest neighbours and their distance in Å.
Space group I4mm (No. 107)
Asymmetric unit:
Sc  0.0000  0.0000  0.0000  4 Br 2.83, 4 W 2.96, 4 Sc 3.01
W  0.0000  0.0000  0.3667  4 Sc 2.96, 4 W 3.01
Br  0.0000  0.0000  0.6214  4 Sc 2.83, 4 Br 3.01

=====

[8]
AcTlH | PBE | relaxed

DFT total energy (eV per atom): -3.246
Distance to the lowest polymorph of the same formula (eV/f.u.): 1.14
Magnetization (μB per formula unit): 0.00

a b c (Å): 4.8158 4.8158 7.5595
angles (deg): 90.00 90.00 90.00
Last column: nearest neighbours and their distance in Å.
Space group I4mm (No. 107)
Asymmetric unit:
Ac  0.0000  0.0000  0.0000  1 H 2.38
Tl  0.0000  0.0000  0.5686  1 H 1.92
H  0.0000  0.0000  0.3150  1 Tl 1.92